A plane-wave DFT calculation with PBE was carried out for a relaxed structure of Re2Tc3B2.

Unit cell a=4.926 b=4.926 c=7.015 alpha=115.23 beta=115.23 gamma=33.76
Sites, in units of the cell vectors:
Re1 0.163 0.163 0.311
Re2 0.837 0.837 0.689
Tc1 0.393 0.393 0.063
Tc2 0.500 0.500 0.500
Tc3 0.607 0.607 0.937
B1 0.169 0.169 0.737
B2 0.831 0.831 0.263

## Properties
calculated volume = 84.7 Å³/cell
calculated formation energy = -0.26 eV/atom
total magnetization = 0.0 μB per cell

***

A plane-wave DFT calculation with PBE was carried out for a relaxed structure of ReTcB2.

Unit cell a=5.659 b=5.085 c=6.177 alpha=90.00 beta=90.00 gamma=90.00
Sites, in units of the cell vectors:
Re1 0.138 0.250 0.232
Re2 0.362 0.750 0.732
Re3 0.638 0.250 0.268
Re4 0.862 0.750 0.768
Tc1 0.131 0.250 0.766
Tc2 0.369 0.750 0.266
Tc3 0.631 0.250 0.734
Tc4 0.869 0.750 0.234
B1 0.154 0.573 0.001
B2 0.154 0.927 0.001
B3 0.346 0.073 0.501
B4 0.346 0.427 0.501
B5 0.654 0.573 0.499
B6 0.654 0.927 0.499
B7 0.846 0.073 0.999
B8 0.846 0.427 0.999

## Properties
calculated volume = 177.7 Å³/cell
calculated formation energy = -0.11 eV/atom
total magnetization = 0.0 μB per cell
energy relative to the lowest polymorph listed for this composition = 0.0 meV per atom

***

A plane-wave DFT calculation with PBE was carried out for a relaxed structure of ReTc12B6.

Unit cell a=6.637 b=6.637 c=6.637 alpha=109.47 beta=109.47 gamma=109.47
Sites, in units of the cell vectors:
Re1 0.000 0.000 0.000
Tc1 0.114 0.814 0.300
Tc2 0.186 0.300 0.486
Tc3 0.186 0.700 0.886
Tc4 0.300 0.114 0.814
Tc5 0.300 0.486 0.186
Tc6 0.486 0.186 0.300
Tc7 0.514 0.814 0.700
Tc8 0.700 0.514 0.814
Tc9 0.700 0.886 0.186
Tc10 0.814 0.300 0.114
Tc11 0.814 0.700 0.514
Tc12 0.886 0.186 0.700
B1 0.115 0.615 0.500
B2 0.385 0.500 0.885
B3 0.500 0.115 0.615
B4 0.500 0.885 0.385
B5 0.615 0.500 0.115
B6 0.885 0.385 0.500

## Properties
calculated volume = 225.0 Å³/cell
calculated formation energy = -0.28 eV/atom
total magnetization = 0.0 μB per cell

***

A plane-wave DFT calculation with PBE was carried out for a relaxed structure of Re5TcB2.

Unit cell a=5.231 b=5.231 c=14.316 alpha=90.00 beta=90.00 gamma=147.67
Sites, in units of the cell vectors:
Re1 0.081 0.919 0.612
Re2 0.081 0.919 0.888
Re3 0.303 0.697 0.250
Re4 0.351 0.649 0.540
Re5 0.351 0.649 0.960
Re6 0.649 0.351 0.040
Re7 0.649 0.351 0.460
Re8 0.697 0.303 0.750
Re9 0.919 0.081 0.112
Re10 0.919 0.081 0.388
Tc1 0.432 0.568 0.750
Tc2 0.568 0.432 0.250
B1 0.138 0.862 0.149
B2 0.138 0.862 0.351
B3 0.862 0.138 0.649
B4 0.862 0.138 0.851

## Properties
calculated volume = 209.5 Å³/cell
calculated formation energy = 0.07 eV/atom
total magnetization = 0.0 μB per cell

***

A plane-wave DFT calculation with PBE was carried out for a relaxed structure of ReTcB2.

Unit cell a=3.881 b=3.881 c=3.881 alpha=60.00 beta=60.00 gamma=60.00
Sites, in units of the cell vectors:
Re1 0.000 0.000 0.000
Tc1 0.500 0.500 0.500
B1 0.250 0.250 0.250
B2 0.750 0.750 0.750

## Properties
calculated volume = 41.3 Å³/cell
calculated formation energy = 0.22 eV/atom
total magnetization = 0.0 μB per cell
energy relative to the lowest polymorph listed for this composition = 337.5 meV per atom

***

A plane-wave DFT calculation with PBE was carried out for a relaxed structure of ReTcB2.

Unit cell a=5.847 b=5.847 c=5.847 alpha=132.36 beta=132.36 gamma=69.65
Sites, in units of the cell vectors:
Re1 0.000 0.000 0.000
Re2 0.750 0.250 0.500
Tc1 0.250 0.750 0.500
Tc2 0.500 0.500 0.000
B1 0.125 0.625 0.000
B2 0.375 0.375 0.500
B3 0.625 0.125 0.000
B4 0.875 0.875 0.500

## Properties
calculated volume = 107.0 Å³/cell
calculated formation energy = 0.79 eV/atom
total magnetization = 0.0 μB per cell
energy relative to the lowest polymorph listed for this composition = 903.9 meV per atom

***

A plane-wave DFT calculation with PBE was carried out for a relaxed structure of Re2TcB.

Unit cell a=7.283 b=7.283 c=7.283 alpha=22.95 beta=22.95 gamma=22.95
Sites, in units of the cell vectors:
Re1 0.000 0.000 0.000
Re2 0.205 0.205 0.205
Tc1 0.435 0.435 0.435
B1 0.602 0.602 0.602

## Properties
calculated volume = 51.5 Å³/cell
calculated formation energy = 0.00 eV/atom
total magnetization = 0.0 μB per cell

***

A plane-wave DFT calculation with PBE was carried out for a relaxed structure of Re3Tc2B2.

Unit cell a=4.980 b=4.980 c=7.016 alpha=115.68 beta=115.68 gamma=33.43
Sites, in units of the cell vectors:
Re1 0.000 0.000 0.000
Re2 0.106 0.106 0.438
Re3 0.894 0.894 0.562
Tc1 0.337 0.337 0.189
Tc2 0.663 0.663 0.811
B1 0.329 0.329 0.763
B2 0.671 0.671 0.237

## Properties
calculated volume = 85.5 Å³/cell
calculated formation energy = -0.25 eV/atom
total magnetization = 0.0 μB per cell

***

A plane-wave DFT calculation with PBE was carried out for a relaxed structure of VReTc2B.

Unit cell a=4.077 b=4.077 c=4.099 alpha=90.00 beta=90.00 gamma=90.00
Sites, in units of the cell vectors:
V1 0.000 0.000 0.000
Re1 0.500 0.500 0.000
Tc1 0.000 0.500 0.500
Tc2 0.500 0.000 0.500
B1 0.500 0.500 0.500

## Properties
calculated volume = 68.1 Å³/cell
calculated formation energy = 0.11 eV/atom
total magnetization = 0.0 μB per cell

***

A plane-wave DFT calculation with PBE was carried out for a relaxed structure of ReBTe2.

Unit cell a=8.300 b=8.300 c=8.300 alpha=23.08 beta=23.08 gamma=23.08
Sites, in units of the cell vectors:
Re1 0.000 0.000 0.000
B1 0.500 0.500 0.500
Te1 0.105 0.105 0.105
Te2 0.895 0.895 0.895

## Properties
calculated volume = 77.1 Å³/cell
formation energy from raw total energies = 1.305 eV/atom
total magnetization = 0.0 μB per cell
energy relative to the lowest polymorph listed for this composition = 409.9 meV per atom

***

A plane-wave DFT calculation with PBE was carried out for a relaxed structure of ReBTe2.

Unit cell a=6.658 b=6.658 c=6.658 alpha=128.42 beta=128.42 gamma=75.95
Sites, in units of the cell vectors:
Re1 0.000 0.000 0.000
Re2 0.750 0.250 0.500
B1 0.250 0.750 0.500
B2 0.500 0.500 0.000
Te1 0.166 0.625 0.041
Te2 0.375 0.416 0.541
Te3 0.584 0.125 0.959
Te4 0.875 0.834 0.459

## Properties
calculated volume = 176.2 Å³/cell
formation energy from raw total energies = 0.895 eV/atom
total magnetization = 0.0 μB per cell
energy relative to the lowest polymorph listed for this composition = 0.0 meV per atom

***

A plane-wave DFT calculation with PBE was carried out for a relaxed structure of ReB3Te.

Unit cell a=4.251 b=4.251 c=4.251 alpha=90.00 beta=90.00 gamma=90.00
Sites, in units of the cell vectors:
Re1 0.000 0.000 0.000
B1 0.000 0.000 0.500
B2 0.000 0.500 0.000
B3 0.500 0.000 0.000
Te1 0.500 0.500 0.500

## Properties
calculated volume = 76.8 Å³/cell
formation energy from raw total energies = 1.393 eV/atom
total magnetization = 0.0 μB per cell
energy relative to the lowest polymorph listed for this composition = 0.0 meV per atom